Computed, not measured: a relaxed SiNi3Au crystal at the PBE-GGA level of DFT.

Values from the calculation:
Symmetry: Pm-3m, No. 221
Electronic total energy, eV/cell: -24.411
M_tot, μB per formula unit: 0.00
Energy relative to the elements, uncorrected, eV per atom: 0.327
Distance to the lowest polymorph of the same formula, meV per atom: 0

Cell and atoms, written as POSCAR:
```
SiNi3Au
1.0
4.198 0.000 0.000
0.000 4.198 0.000
0.000 0.000 4.198
Ni Si Au
3 1 1
Direct
0.000 0.500 0.000
0.000 0.000 0.500
0.500 0.000 0.000
0.000 0.000 0.000
0.500 0.500 0.500
```

***

Computed, not measured: a relaxed YTlZnCu crystal at the PBE-GGA level of DFT.

Values from the calculation:
Symmetry: F-43m, No. 216
Electronic total energy, eV/cell: -14.842
M_tot, μB per formula unit: 0.00
DFT formation energy, meV per atom: -160

Cell and atoms, written as POSCAR:
```
YTlZnCu
1.0
4.841 0.000 0.000
2.420 4.192 0.000
2.420 1.397 3.953
Y Tl Zn Cu
1 1 1 1
Direct
0.000 0.000 0.000
0.500 0.500 0.500
0.250 0.250 0.250
0.750 0.750 0.750
```

***

Computed, not measured: a relaxed SrYPt3 crystal at the PBE-GGA level of DFT.

Values from the calculation:
Symmetry: Pm-3m, No. 221
Electronic total energy, eV/cell: -22.980
M_tot, μB per formula unit: 0.00
DFT formation energy, meV per atom: 658
Distance to the lowest polymorph of the same formula, meV per atom: 763

Cell and atoms, written as POSCAR:
```
SrYPt3
1.0
-1.662 4.716 1.322
-2.030 -1.934 4.346
4.457 0.877 2.472
Y Sr Pt
1 1 3
Direct
0.500 0.500 0.500
0.000 0.000 0.000
0.000 0.500 0.000
0.000 0.000 0.500
0.500 0.000 0.000
```